Below is an optimized crystal structure of Mn2Tl3Cl3F4, with properties calculated at the PBE+U level.

Computed properties:
VASP energy = -4.673 eV per atom

Geometry as CIF:
```
data_Mn2Tl3Cl3F4
_chemical_formula_sum 'Mn4 Tl6 Cl6 F8'
_cell_length_a 4.197
_cell_length_b 5.163
_cell_length_c 24.757
_cell_angle_alpha 90.00
_cell_angle_beta 90.00
_cell_angle_gamma 90.00
_space_group_name_H-M_alt 'I m m m'
_space_group_IT_number 71
_space_group_name_Hall '-I 2 2'
loop_
_atom_site_label
_atom_site_fract_x
_atom_site_fract_y
_atom_site_fract_z
Mn1 0.000 0.000 0.110
Tl1 0.000 0.000 0.302
Tl2 0.000 0.000 0.500
Cl1 0.000 0.000 0.000
Cl2 0.000 0.500 0.103
F1 0.000 0.000 0.195
F2 0.000 0.500 0.390
```